ReAg7, relaxed, DFT PBE; D(E_F) = 0.699 states/eV/atom; uncorrected energy = -28.6 eV for the cell shown; formation energy from the elements = 0.478 eV per atom
1.0
2.909 -4.977 -0.972
-2.468 -5.133 1.317
-1.715 -3.601 -4.274
Re Ag
1 7
Cartesian
0.000 0.000 0.000
1.454 -2.488 -0.486
-0.857 -1.800 -2.137
0.597 -4.289 -2.623
-1.234 -2.567 0.659
0.221 -5.055 0.173
-2.091 -4.367 -1.478
-0.637 -6.855 -1.964